The following is a GGA-PBE calculation of an optimized crystal structure of La6AlTe5, from Alexandria via LeMat-Bulk.

Values from the calculation:
**Crystal system**: monoclinic
**ΔE_f (raw)**: -1.384 eV/atom

Cell: 7.9327 7.9327 7.9349 Å, 99.59 99.59 119.86°
Closest atoms and distances in Å follow each position.
Element x y z (fractional)
Te: 0.8289 0.1711 0.5000  6 La 3.24-3.31
Te: 0.6659 0.3341 0.0000  6 La 3.25
Te: 0.5000 0.5000 0.5000  6 La 3.24-3.35
Te: 0.3341 0.6659 0.0000  6 La 3.25
Te: 0.1711 0.8289 0.5000  6 La 3.24-3.31
Al: 0.0000 0.0000 0.0000  6 La 3.13-3.14
La: 0.4024 0.0805 0.2420  1 Al 3.13, 5 Te 3.24-3.31
La: 0.9195 0.5976 0.7580  1 Al 3.13, 5 Te 3.24-3.31
La: 0.2399 0.2399 0.7559  1 Al 3.14, 5 Te 3.25-3.35
La: 0.7601 0.7601 0.2441  1 Al 3.14, 5 Te 3.25-3.35
La: 0.0805 0.4024 0.2420  1 Al 3.13, 5 Te 3.24-3.31
La: 0.5976 0.9195 0.7580  1 Al 3.13, 5 Te 3.24-3.31